Entry 1:
12
Lattice="3.667 -6.353 0.000 3.667 6.353 0.000 -2.444 0.000 8.192" Properties=species:S:1:pos:R:3 comment="Pr6Ir2RhI3, optimized geometry, DFT PBE-GGA" sg="No. 12" magmom_total_mub_per_fu=0.0 final_energy_ev_per_cell=-69.81 crystal_system=monoclinic n_ef_per_ev_cell=3.16 pbc="T T T"
Pr -0.004 2.124 6.679
Pr 1.214 0.000 1.514
Pr -0.004 -2.124 6.679
Pr 4.894 2.124 1.513
Pr 3.676 0.000 6.678
Pr 4.894 -2.124 1.513
Ir 3.667 4.235 0.000
Ir 3.667 -4.235 0.000
Rh 3.667 0.000 0.000
I -1.222 0.000 4.096
I 2.445 2.120 4.096
I 2.445 -2.120 4.096



Entry 2:
12
Lattice="3.655 -6.330 0.000 3.655 6.330 0.000 -2.436 0.000 8.200" Properties=species:S:1:pos:R:3 comment="Pr6Ir2RuI3, optimized geometry, DFT PBE-GGA" sg="No. 12" magmom_total_mub_per_fu=0.0 final_energy_ev_per_cell=-70.47 crystal_system=monoclinic n_ef_per_ev_cell=4.98 pbc="T T T"
Pr 1.203 2.084 1.517
Pr -0.030 0.000 6.680
Pr 1.203 -2.084 1.517
Pr 3.671 2.084 6.683
Pr 4.903 0.000 1.520
Pr 3.671 -2.084 6.683
Ir 3.655 2.109 0.000
Ir 3.655 -2.109 0.000
Ru 0.000 0.000 0.000
I 2.437 4.226 4.100
I 2.437 0.000 4.100
I 2.437 -4.226 4.100



Entry 3:
8
Lattice="7.295 0.000 0.000 0.000 4.212 0.000 -2.429 0.000 8.207" Properties=species:S:1:pos:R:3 comment="Pr4IrRuI2, optimized geometry, DFT PBE-GGA" sg="No. 10" magmom_total_mub_per_fu=0.0 final_energy_ev_per_cell=-46.63 crystal_system=monoclinic n_ef_per_ev_cell=4.60 pbc="T T T"
Pr 1.190 0.000 1.526
Pr -0.028 2.106 6.691
Pr 4.895 2.106 1.516
Pr 3.676 0.000 6.680
Ir 3.648 0.000 0.000
Ru 0.000 2.106 0.000
I -1.214 0.000 4.103
I 2.433 2.106 4.103



Entry 4:
16
Lattice="4.198 2.424 8.219 -4.198 2.424 8.219 0.000 -4.847 8.219" Properties=species:S:1:pos:R:3 comment="Pr8IrRu3I4, optimized geometry, DFT PBE-GGA" sg="No. 166" magmom_total_mub_per_fu=0.0 final_energy_ev_per_cell=-92.25 crystal_system=trigonal n_ef_per_ev_cell=8.20 pbc="T T T"
Pr -2.124 -1.226 13.854
Pr 0.000 0.000 5.645
Pr 0.000 -2.453 10.804
Pr -2.124 1.226 10.804
Pr 2.124 -1.226 13.854
Pr 0.000 2.453 13.854
Pr 0.000 0.000 19.014
Pr 2.124 1.226 10.804
Ir 0.000 0.000 12.329
Ru -4.198 0.000 12.329
Ru -2.099 1.212 4.110
Ru 2.099 1.212 4.110
I 0.000 0.000 0.000
I -2.099 -1.212 8.219
I -2.099 1.212 16.439
I 0.000 2.424 8.219